This record from the Alexandria database describes a relaxed structure of SrMn2Ru. The functional is PBEsol.

Output
SG   No. 166
Energy above the lowest structure with this stoichiometry   0 meV/atom

Structure (CIF):
```
data_SrMn2Ru
_chemical_formula_sum 'Sr1 Mn2 Ru1'
_space_group_name_H-M_alt 'P 1'
_space_group_IT_number 1
_space_group_name_Hall 'P 1'
_cell_length_a 4.135
_cell_length_b 4.135
_cell_length_c 5.956
_cell_angle_alpha 69.69
_cell_angle_beta 69.69
_cell_angle_gamma 60.00
loop_
_atom_site_label
_atom_site_type_symbol
_atom_site_fract_x
_atom_site_fract_y
_atom_site_fract_z
Mn1 Mn 0.695 0.695 0.915
Mn2 Mn 0.305 0.305 0.085
Ru1 Ru 0.000 0.000 0.000
Sr1 Sr 0.500 0.500 0.500
```